<i>
{"formula": "MoIrSe", "functional": "PBE", "state": "relaxed", "lattice_angstrom": [[-0.811, -4.698, -0.528], [0.182, -2.832, 3.867], [-2.112, 3.875, -1.879]], "species": ["Ir", "Se", "Mo"], "fractional_positions": [[0.994, 0.994, 0.000], [0.668, 0.668, 0.000], [0.338, 0.338, 0.000]], "dos_ef_per_ev_atom": 0.805, "sg": "Imm2 (44)"}


<ii>
{"formula": "MoIrSe", "functional": "PBE", "state": "relaxed", "lattice_angstrom": [[-0.286, 0.602, -2.878], [-0.309, -2.774, 0.967], [-6.289, 0.991, 0.832]], "species": ["Mo", "Ir", "Se"], "fractional_positions": [[0.333, 0.667, 0.341], [0.000, 0.000, 0.018], [0.667, 0.333, 0.640]], "dos_ef_per_ev_atom": 0.283, "sg": "P3m1 (156)"}


Tell me which of them is the least stable. Sure, it is <i>.